LaInPdPt3: relaxed, GGA-PBE. Values from VASP.

```
&SYSTEM
  ibrav = 0, nat = 12, ntyp = 4
/
ATOMIC_SPECIES
La 138.91 La.upf
In 114.82 In.upf
Pd 106.42 Pd.upf
Pt 195.08 Pt.upf
CELL_PARAMETERS angstrom
-4.967 -3.392 1.659
1.715 -4.272 -3.599
2.642 -0.589 6.703
ATOMIC_POSITIONS angstrom
La -1.449 -4.317 4.434
La 0.839 -3.937 0.329
In 1.313 -2.837 3.994
In -1.922 -5.416 0.769
Pd 2.216 -5.009 2.259
Pd -2.826 -3.244 2.505
Pt -0.134 -1.710 1.966
Pt 0.427 -1.064 -0.897
Pt -1.195 -4.904 -1.872
Pt -2.056 -2.760 -0.067
Pt 1.288 -3.208 -2.702
Pt -0.475 -6.543 2.797
```

As for the symmetry: Cmcm. The formation energy is -537 meV per atom. As for the crystal system: orthorhombic.

=====

HgPb3Au8: relaxed, GGA-PBE. Values from VASP.

```
&SYSTEM
  ibrav = 0, nat = 12, ntyp = 3
/
ATOMIC_SPECIES
Hg 200.59 Hg.upf
Pb 207.20 Pb.upf
Au 196.97 Au.upf
CELL_PARAMETERS angstrom
5.754 0.000 0.000
-2.877 4.983 0.000
0.000 0.000 9.175
ATOMIC_POSITIONS angstrom
Hg 0.000 0.000 5.039
Pb 2.877 1.661 4.150
Pb 2.877 1.661 0.611
Pb 0.000 0.000 8.517
Au 0.000 3.322 4.601
Au 0.000 3.322 0.001
Au 2.877 0.029 6.887
Au 1.464 2.477 6.887
Au 4.290 2.477 6.887
Au 0.000 1.627 2.294
Au -1.468 4.170 2.294
Au 1.468 4.170 2.294
```

As for the symmetry: P3m1. The formation energy is -17 meV per atom. As for the crystal system: trigonal.

=====

In2Hg2Se5: relaxed, GGA-PBE. Values from VASP.

```
&SYSTEM
  ibrav = 0, nat = 9, ntyp = 3
/
ATOMIC_SPECIES
In 114.82 In.upf
Hg 200.59 Hg.upf
Se 78.96 Se.upf
CELL_PARAMETERS angstrom
-2.310 1.466 3.207
-5.861 -0.461 -4.012
2.043 -9.614 3.095
ATOMIC_POSITIONS angstrom
In -1.124 -6.020 4.712
In -5.005 -2.589 -2.422
Hg -2.749 -0.786 1.149
Hg -3.379 -7.823 1.141
Se -1.372 -2.506 2.928
Se -4.757 -6.103 -0.637
Se -3.236 -6.202 3.274
Se -2.892 -2.407 -0.984
Se 0.000 0.000 0.000
```

As for the symmetry: C2/m. For the energy relative to the elements, uncorrected, the calculation gives -24 kJ/mol of atoms. As for the crystal system: monoclinic.

=====

OsPbCl: relaxed, GGA-PBE. Values from VASP.

```
&SYSTEM
  ibrav = 0, nat = 3, ntyp = 3
/
ATOMIC_SPECIES
Cl 35.45 Cl.upf
Os 190.23 Os.upf
Pb 207.20 Pb.upf
CELL_PARAMETERS angstrom
3.233 0.000 0.000
-1.616 2.800 0.000
0.000 0.000 7.689
ATOMIC_POSITIONS angstrom
Cl 0.000 0.000 0.674
Os 0.000 1.866 2.385
Pb 1.616 0.933 4.630
```

As for the symmetry: P3m1. For the energy relative to the elements, uncorrected, the calculation gives 69 kJ/mol of atoms. As for the crystal system: trigonal.

=====

Tb2NbGa2Ru5: relaxed, GGA-PBE. Values from VASP.

```
&SYSTEM
  ibrav = 0, nat = 20, ntyp = 4
/
ATOMIC_SPECIES
Tb 158.93 Tb.upf
Nb 92.91 Nb.upf
Ga 69.72 Ga.upf
Ru 101.07 Ru.upf
CELL_PARAMETERS angstrom
3.352 0.000 0.000
0.000 10.123 0.000
0.000 0.000 10.123
ATOMIC_POSITIONS angstrom
Tb 0.000 6.795 1.733
Tb 0.000 3.328 8.389
Tb 0.000 1.733 3.328
Tb 0.000 8.389 6.795
Nb 0.000 0.000 0.000
Nb 0.000 5.061 5.061
Ga 0.000 1.291 6.352
Ga 0.000 8.832 3.770
Ga 0.000 6.352 8.832
Ga 0.000 3.770 1.291
Ru 1.676 2.005 0.674
Ru 1.676 8.118 9.449
Ru 1.676 0.674 8.118
Ru 1.676 7.066 4.387
Ru 1.676 9.449 2.005
Ru 1.676 3.056 5.735
Ru 1.676 5.735 7.066
Ru 1.676 4.387 3.056
Ru 1.676 5.061 0.000
Ru 1.676 0.000 5.061
```

As for the symmetry: P4/mbm. The formation energy is -366 meV per atom. As for the crystal system: tetragonal.

=====

TbH8Pd2Rh3: relaxed, GGA-PBE. Values from VASP.

```
&SYSTEM
  ibrav = 0, nat = 14, ntyp = 4
/
ATOMIC_SPECIES
Tb 158.93 Tb.upf
H 1.01 H.upf
Pd 106.42 Pd.upf
Rh 102.91 Rh.upf
CELL_PARAMETERS angstrom
-4.950 2.570 0.914
-4.513 -3.029 1.550
-2.013 0.448 5.318
ATOMIC_POSITIONS angstrom
Tb -9.031 -0.231 4.164
H -2.904 -0.021 1.808
H -8.499 0.049 6.261
H -3.913 0.239 4.787
H -6.264 1.459 5.221
H -6.056 -1.199 5.523
H -5.558 0.920 2.262
H -5.390 -1.232 2.507
H -7.292 -0.244 2.858
Pd -2.452 0.216 3.586
Pd -5.729 -0.001 3.926
Rh -4.498 1.710 5.779
Rh -4.283 -1.046 6.093
Rh -6.720 0.219 6.542
```

As for the symmetry: R3m. As for the crystal system: trigonal. The total DFT energy (no corrections) comes out at -67.5 eV for the cell shown.

=====

Nd5Co2: relaxed, GGA-PBE. Values from VASP.

```
&SYSTEM
  ibrav = 0, nat = 14, ntyp = 2
/
ATOMIC_SPECIES
Nd 144.24 Nd.upf
Co 58.93 Co.upf
CELL_PARAMETERS angstrom
-7.895 -1.908 -3.826
-3.191 -1.382 -8.277
0.849 -7.036 0.065
ATOMIC_POSITIONS angstrom
Nd -1.849 -7.557 -6.609
Nd -4.232 -5.870 -8.928
Nd -8.388 -2.769 -5.429
Nd -6.005 -4.456 -3.110
Nd -2.806 -6.746 -3.110
Nd -7.654 -7.170 -8.283
Nd -7.431 -3.580 -8.929
Nd -2.583 -3.156 -3.755
Nd -5.226 -6.958 -5.701
Nd -5.011 -3.368 -6.338
Co -2.860 -5.218 -5.599
Co -5.009 -8.408 -8.247
Co -7.377 -5.108 -6.440
Co -5.228 -1.917 -3.792
```

As for the symmetry: C2/c. The formation energy is -71 meV per atom. As for the crystal system: monoclinic.

=====

Cu5Se2Cl2O8: relaxed, GGA-PBE. Values from VASP.

```
&SYSTEM
  ibrav = 0, nat = 34, ntyp = 4
/
ATOMIC_SPECIES
Cu 63.55 Cu.upf
Se 78.96 Se.upf
Cl 35.45 Cl.upf
O 16.00 O.upf
CELL_PARAMETERS angstrom
-4.459 3.452 -0.781
-3.120 -4.191 3.244
3.162 6.741 11.748
ATOMIC_POSITIONS angstrom
Cu -4.578 -1.327 2.047
Cu -0.628 0.466 5.033
Cu -3.789 5.536 9.179
Cu -2.208 3.001 7.106
Cu -3.247 1.362 3.195
Cu -1.170 4.641 11.017
Cu -0.788 0.274 8.235
Cu 0.161 7.330 12.164
Cu -1.560 -2.095 1.622
Cu -3.629 5.729 5.976
Se -3.583 2.435 10.011
Se -3.796 3.733 1.090
Se -0.621 2.270 13.121
Se -0.834 3.567 4.200
Cl 0.101 3.967 8.834
Cl -1.663 6.686 10.174
Cl -4.518 2.035 5.378
Cl -2.754 -0.684 4.037
O -2.560 1.992 8.690
O -0.986 1.490 6.688
O -2.661 2.560 0.448
O -4.430 0.628 1.788
O -1.313 1.915 3.840
O -0.858 -0.340 1.337
O -1.856 4.011 5.521
O -3.430 4.513 7.524
O -5.106 2.781 9.213
O -0.695 2.745 11.431
O -3.104 4.087 10.372
O 0.013 5.375 12.423
O -3.722 3.258 2.781
O -3.559 6.343 12.875
O 0.689 3.222 4.999
O -1.756 3.443 13.764
```

As for the symmetry: P2_1/c. For the energy relative to the elements, uncorrected, the calculation gives -60 kJ/mol of atoms. As for the crystal system: monoclinic.

=====

NdHfRh: relaxed, GGA-PBE. Values from VASP.

```
&SYSTEM
  ibrav = 0, nat = 6, ntyp = 3
/
ATOMIC_SPECIES
Nd 144.24 Nd.upf
Rh 102.91 Rh.upf
Hf 178.49 Hf.upf
CELL_PARAMETERS angstrom
4.634 0.000 0.000
0.000 4.634 0.000
0.000 0.000 6.719
ATOMIC_POSITIONS angstrom
Nd 0.000 2.317 5.866
Nd 2.317 0.000 0.853
Rh 0.000 2.317 2.031
Rh 2.317 0.000 4.688
Hf 2.317 2.317 3.359
Hf 0.000 0.000 3.359
```

As for the symmetry: P4/nmm. The formation energy is -603 meV per atom. As for the crystal system: tetragonal.

=====

RbSiIrS2: relaxed, GGA-PBE. Values from VASP.

```
&SYSTEM
  ibrav = 0, nat = 5, ntyp = 4
/
ATOMIC_SPECIES
S 32.06 S.upf
Ir 192.22 Ir.upf
Si 28.09 Si.upf
Rb 85.47 Rb.upf
CELL_PARAMETERS angstrom
-1.221 3.113 -4.351
-5.071 -2.672 -0.489
-2.285 3.732 3.311
ATOMIC_POSITIONS angstrom
S -1.143 1.866 1.656
S -0.610 1.557 -2.176
Ir -4.289 2.087 -0.764
Si -2.536 -1.336 -0.244
Rb 0.000 0.000 0.000
```

As for the symmetry: P4/mmm. For the energy relative to the elements, uncorrected, the calculation gives 240 kJ/mol of atoms. As for the crystal system: tetragonal.

=====

Th4Te5As: relaxed, GGA-PBE. Values from VASP.

```
&SYSTEM
  ibrav = 0, nat = 10, ntyp = 3
/
ATOMIC_SPECIES
Th 232.04 Th.upf
Te 127.60 Te.upf
As 74.92 As.upf
CELL_PARAMETERS angstrom
4.364 0.000 0.000
0.000 8.753 -0.417
-2.182 -1.679 9.443
ATOMIC_POSITIONS angstrom
Th 0.000 6.880 6.053
Th 0.000 6.709 -0.316
Th 2.182 0.194 2.974
Th 2.182 0.365 9.343
Te 2.182 4.657 6.015
Te 2.182 0.459 6.155
Te 0.000 6.616 2.871
Te 2.182 4.377 -0.208
Te 0.000 2.418 3.011
As 2.182 0.000 0.000
```

As for the symmetry: C2/m. For the energy relative to the elements, uncorrected, the calculation gives -116 kJ/mol of atoms. As for the crystal system: monoclinic.

=====

NaSrTc3: relaxed, GGA-PBE. Values from VASP.

```
&SYSTEM
  ibrav = 0, nat = 5, ntyp = 3
/
ATOMIC_SPECIES
Sr 87.62 Sr.upf
Tc 98.00 Tc.upf
Na 22.99 Na.upf
CELL_PARAMETERS angstrom
4.847 0.000 0.000
0.000 4.847 0.000
0.000 0.000 4.847
ATOMIC_POSITIONS angstrom
Sr 2.423 2.423 2.423
Tc 0.000 2.423 0.000
Tc 0.000 0.000 2.423
Tc 2.423 0.000 0.000
Na 0.000 0.000 0.000
```

As for the symmetry: Pm-3m. The formation energy is 2192 meV per atom. As for the crystal system: cubic.

=====

KBaCr2: relaxed, GGA-PBE. Values from VASP.

```
&SYSTEM
  ibrav = 0, nat = 4, ntyp = 3
/
ATOMIC_SPECIES
Ba 137.33 Ba.upf
Cr 52.00 Cr.upf
K 39.10 K.upf
CELL_PARAMETERS angstrom
-3.955 3.398 -4.820
-4.148 -3.733 -4.391
1.546 1.527 6.760
ATOMIC_POSITIONS angstrom
Ba -3.166 -1.180 -0.935
Cr -7.768 -0.321 -8.830
Cr -3.544 2.366 -1.690
K -4.234 -0.175 -4.813
```

As for the symmetry: Imm2. The formation energy is 1046 meV per atom. As for the crystal system: orthorhombic.

=====

LiZrIN2: relaxed, GGA-PBE. Values from VASP.

```
&SYSTEM
  ibrav = 0, nat = 5, ntyp = 4
/
ATOMIC_SPECIES
I 126.90 I.upf
Li 6.94 Li.upf
Zr 91.22 Zr.upf
N 14.01 N.upf
CELL_PARAMETERS angstrom
-0.878 -4.053 -0.441
2.729 -0.249 -3.144
4.541 -1.424 4.054
ATOMIC_POSITIONS angstrom
I 2.271 -0.712 2.027
Li 3.196 -2.863 0.234
Zr 0.000 0.000 0.000
N 1.364 -0.124 -1.572
N -0.439 -2.027 -0.220
```

As for the symmetry: P4/mmm. For the energy relative to the elements, uncorrected, the calculation gives -7 kJ/mol of atoms. As for the crystal system: tetragonal.

=====

La4TbPm6: relaxed, GGA-PBE. Values from VASP.

```
&SYSTEM
  ibrav = 0, nat = 11, ntyp = 3
/
ATOMIC_SPECIES
La 138.91 La.upf
Tb 158.93 Tb.upf
Pm 145.00 Pm.upf
CELL_PARAMETERS angstrom
-2.848 4.627 4.048
-5.133 0.666 -4.372
-0.255 -8.799 4.210
ATOMIC_POSITIONS angstrom
La -3.956 -5.952 0.202
La -7.737 2.894 0.738
La -2.417 -3.284 5.874
La -2.361 -0.671 0.957
Tb -3.990 2.646 -0.162
Pm -5.084 1.182 2.840
Pm -5.929 -0.283 -0.274
Pm -4.205 -2.977 2.542
Pm -2.566 0.333 -2.186
Pm -1.254 -4.934 2.662
Pm -1.424 2.314 2.024
```

As for the symmetry: I-42m. The formation energy is 251 meV per atom. As for the crystal system: tetragonal.

=====

Sr2ZnAs: relaxed, GGA-PBE. Values from VASP.

```
&SYSTEM
  ibrav = 0, nat = 8, ntyp = 3
/
ATOMIC_SPECIES
Sr 87.62 Sr.upf
As 74.92 As.upf
Zn 65.41 Zn.upf
CELL_PARAMETERS angstrom
6.031 0.000 0.000
0.000 6.031 0.000
3.016 3.016 9.051
ATOMIC_POSITIONS angstrom
Sr 4.682 1.508 2.263
Sr 1.349 4.523 2.263
Sr 4.523 4.364 6.788
Sr 7.539 7.698 6.788
As 0.000 0.000 0.000
As 6.031 3.016 4.526
Zn 3.016 3.016 0.000
Zn 3.016 6.031 4.526
```

As for the symmetry: I-42d. The formation energy is -203 meV per atom. As for the crystal system: tetragonal.

=====

PPb: relaxed, GGA-PBE. Values from VASP.

```
&SYSTEM
  ibrav = 0, nat = 4, ntyp = 2
/
ATOMIC_SPECIES
P 30.97 P.upf
Pb 207.20 Pb.upf
CELL_PARAMETERS angstrom
3.947 0.000 0.000
0.000 4.748 0.000
0.000 0.000 5.560
ATOMIC_POSITIONS angstrom
P 0.000 3.561 3.282
P 0.000 1.187 2.277
Pb 1.974 3.561 1.257
Pb 1.974 1.187 4.303
```

As for the symmetry: Pmma. The formation energy is 306 meV per atom. As for the crystal system: orthorhombic.

=====

Cu2BiPtCl: relaxed, GGA-PBE. Values from VASP.

```
&SYSTEM
  ibrav = 0, nat = 5, ntyp = 4
/
ATOMIC_SPECIES
Cu 63.55 Cu.upf
Bi 208.98 Bi.upf
Pt 195.08 Pt.upf
Cl 35.45 Cl.upf
CELL_PARAMETERS angstrom
5.027 0.000 0.000
0.000 5.217 0.000
0.000 0.000 5.027
ATOMIC_POSITIONS angstrom
Cu 0.000 0.000 2.514
Cu 2.514 0.000 0.000
Bi 0.000 0.000 0.000
Pt 0.000 2.609 0.000
Cl 2.514 2.609 2.514
```

As for the symmetry: P4/mmm. For the energy relative to the elements, uncorrected, the calculation gives 86 kJ/mol of atoms. As for the crystal system: tetragonal.

=====

Th4Tl2Cd: relaxed, GGA-PBE. Values from VASP.

```
&SYSTEM
  ibrav = 0, nat = 7, ntyp = 3
/
ATOMIC_SPECIES
Th 232.04 Th.upf
Tl 204.38 Tl.upf
Cd 112.41 Cd.upf
CELL_PARAMETERS angstrom
-2.425 -4.266 -0.274
1.835 -4.013 2.164
-5.738 -0.215 10.048
ATOMIC_POSITIONS angstrom
Th -5.620 -5.968 10.438
Th -2.594 -7.358 5.296
Th -0.708 -2.524 1.499
Th -3.734 -1.135 6.641
Tl -1.591 -4.969 3.295
Tl -4.738 -3.524 8.643
Cd -3.164 -4.246 5.969
```

As for the symmetry: R-3m. The formation energy is 278 meV per atom. As for the crystal system: trigonal.

=====

CaYEr2Sb4: relaxed, GGA-PBE. Values from VASP.

```
&SYSTEM
  ibrav = 0, nat = 8, ntyp = 4
/
ATOMIC_SPECIES
Ca 40.08 Ca.upf
Y 88.91 Y.upf
Er 167.26 Er.upf
Sb 121.76 Sb.upf
CELL_PARAMETERS angstrom
-3.368 -0.180 2.774
4.208 -4.182 4.838
3.691 4.683 4.787
ATOMIC_POSITIONS angstrom
Ca 0.420 -2.181 3.806
Y 3.949 0.250 4.812
Er 3.691 4.683 4.787
Er 0.162 2.251 3.780
Sb 5.936 0.307 7.228
Sb -1.405 0.014 5.170
Sb 2.422 -2.071 6.244
Sb 2.109 2.392 6.154
```

As for the symmetry: P2/m. For the energy relative to the elements, uncorrected, the calculation gives -99 kJ/mol of atoms. As for the crystal system: monoclinic.

=====

KSb4As: relaxed, GGA-PBE. Values from VASP.

```
&SYSTEM
  ibrav = 0, nat = 6, ntyp = 3
/
ATOMIC_SPECIES
K 39.10 K.upf
Sb 121.76 Sb.upf
As 74.92 As.upf
CELL_PARAMETERS angstrom
0.000 4.452 4.452
4.452 0.000 4.452
4.452 4.452 0.000
ATOMIC_POSITIONS angstrom
K 0.000 0.000 0.000
Sb 5.546 3.359 5.546
Sb 3.359 5.546 5.546
Sb 5.546 5.546 3.359
Sb 3.359 3.359 3.359
As 6.678 6.678 6.678
```

As for the symmetry: F-43m. For the energy relative to the elements, uncorrected, the calculation gives 19 kJ/mol of atoms. As for the crystal system: cubic.

=====

TaTl: relaxed, GGA-PBE. Values from VASP.

```
&SYSTEM
  ibrav = 0, nat = 4, ntyp = 2
/
ATOMIC_SPECIES
Ta 180.95 Ta.upf
Tl 204.38 Tl.upf
CELL_PARAMETERS angstrom
-0.696 -2.615 -9.915
2.505 -1.925 -9.780
1.433 -4.900 -8.920
ATOMIC_POSITIONS angstrom
Ta 0.033 -0.096 -0.292
Ta 2.398 -6.984 -21.169
Tl 1.594 -4.641 -14.068
Tl 0.838 -2.439 -7.394
```

As for the symmetry: R-3m. The formation energy is 459 meV per atom. As for the crystal system: trigonal.

=====

PmZnBiRu: relaxed, GGA-PBE. Values from VASP.

```
&SYSTEM
  ibrav = 0, nat = 4, ntyp = 4
/
ATOMIC_SPECIES
Ru 101.07 Ru.upf
Zn 65.41 Zn.upf
Bi 208.98 Bi.upf
Pm 145.00 Pm.upf
CELL_PARAMETERS angstrom
4.936 0.000 0.000
2.468 4.275 0.000
2.468 1.425 4.030
ATOMIC_POSITIONS angstrom
Ru 4.936 2.850 2.015
Zn 0.000 0.000 0.000
Bi 7.404 4.275 3.023
Pm 2.468 1.425 1.008
```

As for the symmetry: F-43m. The formation energy is -61 meV per atom. As for the crystal system: cubic.